This record from Alexandria describes a relaxed structure of Li2Cr2O7. The functional is GGA+U.

Values from the calculation:
Spin magnetization, μB per cell: 0.000
Energy above the most stable polymorph in this dataset, meV/atom: 10
VASP energy, Ry/atom: -0.4656

Lattice parameters (Å, degrees): 6.1933 7.5428 7.8399 76.67 67.74 80.85
Closest atoms and distances in Å follow each position.
Space group P-1 (No. 2)
Asymmetric unit:
Li1 0.0804 0.1487 0.3530 [2 per cell]  4 O 1.97-2.02
Li2 0.3382 0.3330 0.5746 [2 per cell]  5 O 2.07-2.16
Cr1 0.2240 0.7009 0.2670 [2 per cell]  4 O 1.63-1.76
Cr2 0.3591 0.8607 0.7987 [2 per cell]  4 O 1.62-1.78
O1 0.0118 0.5797 0.3004 [2 per cell]  1 Cr 1.63
O2 0.1132 0.8783 0.3708 [2 per cell]  1 Cr 1.65
O3 0.1489 0.7774 0.7733 [2 per cell]  1 Cr 1.63
O4 0.3176 0.0821 0.7683 [2 per cell]  1 Cr 1.62
O5 0.3734 0.7741 0.0255 [2 per cell]  2 Cr 1.76-1.78
O6 0.3855 0.1994 0.3556 [2 per cell]  1 Cr 1.66
O7 0.4085 0.5774 0.3610 [2 per cell]  1 Cr 1.64